[1]
First-principles (PBE) data for a relaxed AcInSn2I8 crystal, as listed in Alexandria.

Unit cell a=7.495 b=9.682 c=7.922 alpha=90.00 beta=90.57 gamma=90.00
Space group P2/m (No. 10)
Unique sites:
Ac1 0.000 0.000 0.000
In1 0.000 0.500 0.000
Sn1 0.500 0.259 0.500
I1 0.254 0.000 0.662
I2 0.254 0.241 0.165
I3 0.271 0.500 0.645

Results
E_form (uncorrected): -809 meV per atom
Crystal system: monoclinic
Total energy: -3.08 eV per atom

***

[2]
First-principles (PBE) data for a relaxed Ac4InTe2I crystal, as listed in Alexandria.

Unit cell a=8.264 b=4.748 c=8.337 alpha=90.00 beta=109.11 gamma=90.00
Space group P2/m (No. 10)
Unique sites:
Ac1 0.234 0.000 0.245
Ac2 0.239 0.500 0.747
In1 0.000 0.000 0.500
Te1 0.000 0.500 0.000
Te2 0.500 0.000 0.000
I1 0.500 0.500 0.500

Results
E_form (uncorrected): -1072 meV per atom
Crystal system: monoclinic
Total energy: -4.45 eV per atom

***

[3]
First-principles (PBE) data for a relaxed AcInTeI crystal, as listed in Alexandria.

Unit cell a=8.183 b=8.183 c=8.183 alpha=90.00 beta=90.00 gamma=90.00
Space group F-43m (No. 216)
Unique sites:
Ac1 0.000 0.000 0.000
In1 0.000 0.000 0.500
Te1 0.250 0.250 0.250
I1 0.250 0.250 0.750

Results
E_form (uncorrected): -832 meV per atom
Crystal system: cubic
Total energy: -3.72 eV per atom

***

[4]
First-principles (PBE) data for a relaxed AcTlIn2I6 crystal, as listed in Alexandria.

Unit cell a=8.748 b=8.754 c=9.213 alpha=90.00 beta=61.66 gamma=60.03
Space group P1 (No. 1)
Unique sites:
Ac1 0.000 0.000 0.000
Tl1 0.015 0.493 0.478
In1 0.610 0.195 0.585
In2 0.623 0.688 0.065
I1 0.108 0.264 0.782
I2 0.109 0.088 0.274
I3 0.482 0.628 0.782
I4 0.529 0.382 0.274
I5 0.814 0.803 0.274
I6 0.846 0.889 0.782

Results
E_form (uncorrected): -929 meV per atom
Crystal system: triclinic
Total energy: -3.05 eV per atom

***

[5]
First-principles (PBE) data for a relaxed AcTl3In3I8 crystal, as listed in Alexandria.

Unit cell a=17.301 b=10.072 c=10.053 alpha=90.00 beta=124.67 gamma=90.00
Space group C2/m (No. 12)
Unique sites:
Ac1 0.000 0.000 0.000
Tl1 0.000 0.000 0.500
Tl2 0.250 0.250 0.000
In1 0.000 0.500 0.000
In2 0.250 0.250 0.500
I1 0.001 0.232 0.231
I2 0.231 0.000 0.233
I3 0.249 0.500 0.252

Results
E_form (uncorrected): -708 meV per atom
Crystal system: monoclinic
Total energy: -2.83 eV per atom

***

[6]
First-principles (PBE) data for a relaxed Ac4TlInI2 crystal, as listed in Alexandria.

Unit cell a=8.204 b=4.910 c=8.541 alpha=90.00 beta=110.10 gamma=90.00
Space group P2/m (No. 10)
Unique sites:
Ac1 0.224 0.000 0.241
Ac2 0.224 0.500 0.741
Tl1 0.000 0.000 0.500
In1 0.000 0.500 0.000
I1 0.500 0.000 0.000
I2 0.500 0.500 0.500

Results
E_form (uncorrected): -653 meV per atom
Crystal system: monoclinic
Total energy: -3.73 eV per atom

***

[7]
First-principles (PBE) data for a relaxed Ac2IrI2 crystal, as listed in Alexandria.

Unit cell a=11.596 b=8.740 c=8.185 alpha=90.00 beta=93.66 gamma=90.00
Space group P2_1/c (No. 14)
Unique sites:
Ac1 0.044 0.124 0.296
Ac2 0.325 0.505 0.253
Ir1 0.124 0.110 0.641
I1 0.214 0.644 0.615
I2 0.476 0.236 0.504

Results
E_form (uncorrected): -888 meV per atom
Crystal system: monoclinic
Total energy: -4.92 eV per atom

***

[8]
First-principles (PBE) data for a relaxed Ac7IrI12 crystal, as listed in Alexandria.

Unit cell a=16.9233 b=16.9233 c=12.2670 alpha=90.00 beta=90.00 gamma=120.00
Space group R-3 (No. 148, hexagonal axes)
Unique sites:
Ac1 0.0000 0.0000 0.0000
Ac2 0.0375 0.1600 0.3637
Ir1 0.0000 0.0000 0.5000
I1 0.0182 0.5871 0.1493
I2 0.0418 0.1690 0.8345

Results
E_form (uncorrected): -1356 meV per atom
Crystal system: trigonal
Total energy: -4.17 eV per atom

***

[9]
First-principles (PBE) data for a relaxed Ac4IrI5 crystal, as listed in Alexandria.

Unit cell a=21.100 b=4.445 c=9.675 alpha=90.00 beta=103.92 gamma=90.00
Space group C2/m (No. 12)
Unique sites:
Ac1 0.001 0.000 0.295
Ac2 0.146 0.500 0.586
Ir1 0.000 0.500 0.500
I1 0.000 0.500 0.000
I2 0.168 0.000 0.857
I3 0.177 0.000 0.335

Results
E_form (uncorrected): -1262 meV per atom
Crystal system: monoclinic
Total energy: -4.57 eV per atom

***

[10]
First-principles (PBE) data for a relaxed Ac2IrI crystal, as listed in Alexandria.

Unit cell a=4.4021 b=4.4021 c=25.8614 alpha=90.00 beta=90.00 gamma=120.00
Space group R-3m (No. 166, hexagonal axes)
Unique sites:
Ac1 0.0000 0.0000 0.2277
Ir1 0.0000 0.0000 0.5000
I1 0.0000 0.0000 0.0000

Results
E_form (uncorrected): -1069 meV per atom
Crystal system: trigonal
Total energy: -5.73 eV per atom

***

[11]
First-principles (PBE) data for a relaxed Ac4Ir2I5 crystal, as listed in Alexandria.

Unit cell a=25.383 b=4.470 c=9.303 alpha=90.00 beta=93.91 gamma=90.00
Space group C2/m (No. 12)
Unique sites:
Ac1 0.024 0.000 0.208
Ac2 0.158 0.500 0.067
Ir1 0.051 0.500 0.021
I1 0.000 0.500 0.500
I2 0.156 0.000 0.339
I3 0.198 0.000 0.827

Results
E_form (uncorrected): -1044 meV per atom
Crystal system: monoclinic
Total energy: -4.85 eV per atom

***

[12]
First-principles (PBE) data for a relaxed Ac2IrI crystal, as listed in Alexandria.

Unit cell a=3.766 b=3.766 c=8.915 alpha=90.00 beta=90.00 gamma=90.00
Space group P4/mmm (No. 123)
Unique sites:
Ac1 0.000 0.000 0.201
Ir1 0.500 0.500 0.000
I1 0.500 0.500 0.500

Results
E_form (uncorrected): -759 meV per atom
Crystal system: tetragonal
Total energy: -5.42 eV per atom

***

[13]
First-principles (PBE) data for a relaxed Ac5Ir2I5 crystal, as listed in Alexandria.

Unit cell a=16.273 b=4.354 c=13.914 alpha=90.00 beta=107.96 gamma=90.00
Space group C2/m (No. 12)
Unique sites:
Ac1 0.000 0.000 0.000
Ac2 0.101 0.000 0.377
Ac3 0.137 0.500 0.801
Ir1 0.023 0.000 0.806
I1 0.000 0.500 0.500
I2 0.176 0.500 0.064
I3 0.234 0.000 0.635

Results
E_form (uncorrected): -913 meV per atom
Crystal system: monoclinic
Total energy: -4.75 eV per atom

***

[14]
First-principles (PBE) data for a relaxed Ac2IrI crystal, as listed in Alexandria.

Unit cell a=4.3920 b=4.3920 c=26.1079 alpha=90.00 beta=90.00 gamma=120.00
Space group R3m (No. 160, hexagonal axes)
Unique sites:
Ac1 0.0000 0.0000 0.0000
Ac2 0.0000 0.0000 0.2118
Ir1 0.0000 0.0000 0.6056
I1 0.0000 0.0000 0.7744

Results
E_form (uncorrected): -1051 meV per atom
Crystal system: trigonal
Total energy: -5.71 eV per atom

***

[15]
First-principles (PBE) data for a relaxed Ac2IrI2 crystal, as listed in Alexandria.

Unit cell a=4.4162 b=4.4162 c=36.0104 alpha=90.00 beta=90.00 gamma=120.00
Space group R-3m (No. 166, hexagonal axes)
Unique sites:
Ac1 0.0000 0.0000 0.1202
Ir1 0.0000 0.0000 0.5000
I1 0.0000 0.0000 0.3887

Results
E_form (uncorrected): -1087 meV per atom
Crystal system: trigonal
Total energy: -5.12 eV per atom

***

[16]
First-principles (PBE) data for a relaxed Ac2IrI3 crystal, as listed in Alexandria.

Unit cell a=19.473 b=4.726 c=12.896 alpha=90.00 beta=121.11 gamma=90.00
Space group C2/m (No. 12)
Unique sites:
Ac1 0.095 0.000 0.435
Ac2 0.134 0.500 0.792
Ir1 0.067 0.000 0.633
I1 0.047 0.500 0.221
I2 0.162 0.000 0.011
I3 0.231 0.500 0.619

Results
E_form (uncorrected): -1134 meV per atom
Crystal system: monoclinic
Total energy: -4.76 eV per atom

***

[17]
First-principles (PBE) data for a relaxed Ac2LaIr2I2 crystal, as listed in Alexandria.

Unit cell a=5.347 b=5.347 c=17.504 alpha=90.00 beta=90.00 gamma=90.00
Space group I4/mmm (No. 139)
Unique sites:
Ac1 0.000 0.000 0.106
La1 0.000 0.000 0.500
Ir1 0.000 0.500 0.000
I1 0.000 0.000 0.306

Results
E_form (uncorrected): -783 meV per atom
Crystal system: tetragonal
Total energy: -5.64 eV per atom

***

[18]
First-principles (PBE) data for a relaxed AcLaIrI crystal, as listed in Alexandria.

Unit cell a=4.3251 b=4.3251 c=25.5003 alpha=90.00 beta=90.00 gamma=120.00
Space group R3m (No. 160, hexagonal axes)
Unique sites:
Ac1 0.0000 0.0000 0.0000
La1 0.0000 0.0000 0.7886
Ir1 0.0000 0.0000 0.3976
I1 0.0000 0.0000 0.2214

Results
E_form (uncorrected): -1074 meV per atom
Crystal system: trigonal
Total energy: -5.94 eV per atom

***

[19]
First-principles (PBE) data for a relaxed Ac6Ir2I2N crystal, as listed in Alexandria.

Unit cell a=7.414 b=12.717 c=8.943 alpha=90.00 beta=107.28 gamma=90.00
Space group C2/m (No. 12)
Unique sites:
Ac1 0.221 0.156 0.180
Ac2 0.244 0.500 0.180
Ir1 0.000 0.331 0.000
I1 0.000 0.173 0.500
N1 0.000 0.000 0.000

Results
E_form (uncorrected): -873 meV per atom
Crystal system: monoclinic
Total energy: -5.76 eV per atom

***

[20]
First-principles (PBE) data for a relaxed Ac8Ir3I4N crystal, as listed in Alexandria.

Unit cell a=14.960 b=8.625 c=9.958 alpha=90.00 beta=120.05 gamma=90.00
Space group C2/m (No. 12)
Unique sites:
Ac1 0.020 0.239 0.322
Ac2 0.220 0.000 0.679
Ac3 0.229 0.500 0.686
Ir1 0.000 0.500 0.500
Ir2 0.250 0.250 0.500
I1 0.000 0.000 0.000
I2 0.000 0.500 0.000
I3 0.250 0.250 0.000
N1 0.000 0.000 0.500

Results
E_form (uncorrected): -1026 meV per atom
Crystal system: monoclinic
Total energy: -5.65 eV per atom

***

[21]
First-principles (PBE) data for a relaxed Ac8Ir3I3N crystal, as listed in Alexandria.

Unit cell a=14.948 b=8.620 c=10.020 alpha=90.00 beta=119.83 gamma=90.00
Space group C2/m (No. 12)
Unique sites:
Ac1 0.021 0.237 0.325
Ac2 0.218 0.000 0.676
Ac3 0.228 0.500 0.684
Ir1 0.000 0.500 0.500
Ir2 0.250 0.250 0.500
I1 0.000 0.000 0.000
I2 0.250 0.250 0.000
N1 0.000 0.000 0.500

Results
E_form (uncorrected): -888 meV per atom
Crystal system: monoclinic
Total energy: -5.72 eV per atom

***

[22]
First-principles (PBE) data for a relaxed Ac6Ir2I3N crystal, as listed in Alexandria.

Unit cell a=7.413 b=12.845 c=8.947 alpha=90.00 beta=106.02 gamma=90.00
Space group C2/m (No. 12)
Unique sites:
Ac1 0.218 0.158 0.178
Ac2 0.243 0.500 0.179
Ir1 0.000 0.334 0.000
I1 0.000 0.171 0.500
I2 0.000 0.500 0.500
N1 0.000 0.000 0.000

Results
E_form (uncorrected): -1045 meV per atom
Crystal system: monoclinic
Total energy: -5.66 eV per atom